An optimized crystal structure of Li2MnVP2H2O10. Source: Alexandria, functional PBE with a Hubbard U.

Lattice parameters (Å, degrees): 5.158 5.503 7.334 107.72 106.69 99.50
Space group P-1 (No. 2)
Symmetry-distinct sites (fractional):
Li1 0.244 0.387 0.325
Mn1 0.500 0.000 0.000
V1 0.500 0.000 0.500
P1 0.173 0.369 0.734
H1 0.141 0.922 0.153
O1 0.132 0.742 0.428
O2 0.193 0.668 0.835
O3 0.213 0.227 0.886
O4 0.339 0.039 0.220
O5 0.383 0.339 0.616

Computed properties:
excess energy over the best structure of this formula in the dataset	0.000	eV per atom
total energy	-122.2	eV/f.u.
calculated density	3.1	g/cm3